# 1
# PBE MnSiRh2, optimized geometry
# - Formation energy from raw total energies: 0.463 eV per atom
# - ρ: 6.52 Mg/m³
data_MnSiRh2
_chemical_formula_sum 'Mn4 Si4 Rh8'
_cell_length_a 5.148
_cell_length_b 5.148
_cell_length_c 11.106
_cell_angle_alpha 90.00
_cell_angle_beta 90.00
_cell_angle_gamma 90.00
_symmetry_space_group_name_H-M 'I -4 2 d'
_symmetry_Int_Tables_number 122
_symmetry_space_group_name_Hall 'I -4 2bw'
loop_
_atom_site_label
_atom_site_type_symbol
_atom_site_fract_x
_atom_site_fract_y
_atom_site_fract_z
_atom_site_occupancy
Mn1 Mn 0.000 0.000 0.000 1
Si1 Si 0.000 0.000 0.500 1
Rh1 Rh 0.243 0.250 0.125 1

***

# 2
# PBE V4CrB, optimized geometry
# - ρ: 5.68 Mg/m³
# - Energy of formation from the pure elements: 1.4 eV/f.u.
data_V4CrB
_chemical_formula_sum 'V8 Cr2 B2'
_cell_length_a 6.187
_cell_length_b 3.600
_cell_length_c 7.296
_cell_angle_alpha 90.00
_cell_angle_beta 106.32
_cell_angle_gamma 90.00
_symmetry_space_group_name_H-M 'C 1 2/m 1'
_symmetry_Int_Tables_number 12
loop_
_symmetry_equiv_pos_as_xyz
'x,y,z'
'-x,-y,-z'
'-x,y,-z'
'x,-y,z'
'x+1/2,y+1/2,z'
'-x+1/2,-y+1/2,-z'
'-x+1/2,y+1/2,-z'
'x+1/2,-y+1/2,z'
loop_
_atom_site_label
_atom_site_type_symbol
_atom_site_fract_x
_atom_site_fract_y
_atom_site_fract_z
_atom_site_occupancy
V1 V 0.113 0.000 0.344 1
V2 V 0.129 0.500 0.888 1
Cr1 Cr 0.000 0.500 0.500 1
B1 B 0.000 0.000 0.000 1

***

# 3
# PBE Ca2TcAs, optimized geometry
# - ρ: 4.81 Mg/m³
# - Energy of formation from the pure elements: 0.2 eV/f.u.
data_Ca2TcAs
_chemical_formula_sum 'Ca2 Tc1 As1'
_cell_length_a 3.505
_cell_length_b 4.025
_cell_length_c 6.195
_cell_angle_alpha 90.00
_cell_angle_beta 90.00
_cell_angle_gamma 90.00
_symmetry_space_group_name_H-M 'P m m m'
_symmetry_Int_Tables_number 47
loop_
_symmetry_equiv_pos_as_xyz
'x,y,z'
'-x,-y,-z'
'-x,-y,z'
'x,y,-z'
'x,-y,-z'
'-x,y,z'
'-x,y,-z'
'x,-y,z'
loop_
_atom_site_label
_atom_site_type_symbol
_atom_site_fract_x
_atom_site_fract_y
_atom_site_fract_z
_atom_site_occupancy
Ca1 Ca 0.000 0.000 0.244 1
Tc1 Tc 0.500 0.500 0.500 1
As1 As 0.500 0.500 0.000 1

***

# 4
# PBE GaTeC3, optimized geometry
# - Formation energy from raw total energies: 2.869 eV per atom
# - ρ: 5.10 Mg/m³
# - Distance to the lowest polymorph of the same formula: 0.2376 eV per atom
data_GaTeC3
_chemical_formula_sum 'Ga1 Te1 C3'
_cell_length_a 4.234
_cell_length_b 4.234
_cell_length_c 4.234
_cell_angle_alpha 90.00
_cell_angle_beta 90.00
_cell_angle_gamma 90.00
_symmetry_space_group_name_H-M 'P m -3 m'
_symmetry_Int_Tables_number 221
_symmetry_space_group_name_Hall '-P 4 2 3'
loop_
_atom_site_label
_atom_site_type_symbol
_atom_site_fract_x
_atom_site_fract_y
_atom_site_fract_z
_atom_site_occupancy
Ga1 Ga 0.000 0.000 0.000 1
Te1 Te 0.500 0.500 0.500 1
C1 C 0.000 0.500 0.500 1

***

# 5
# PBE NaLiLa2Ir, optimized geometry
# - ρ: 4.71 Mg/m³
# - Energy of formation from the pure elements: -0.6 eV/f.u.
# - Distance to the lowest polymorph of the same formula: 0.0914 eV per atom
data_NaLiLa2Ir
_chemical_formula_sum 'Na1 Li1 La2 Ir1'
_cell_length_a 5.509
_cell_length_b 5.509
_cell_length_c 5.810
_cell_angle_alpha 90.00
_cell_angle_beta 90.00
_cell_angle_gamma 90.00
_symmetry_space_group_name_H-M 'P 4/m m m'
_symmetry_Int_Tables_number 123
_symmetry_space_group_name_Hall '-P 4 2'
loop_
_atom_site_label
_atom_site_type_symbol
_atom_site_fract_x
_atom_site_fract_y
_atom_site_fract_z
_atom_site_occupancy
Na1 Na 0.000 0.000 0.000 1
Li1 Li 0.500 0.500 0.000 1
La1 La 0.000 0.500 0.500 1
Ir1 Ir 0.000 0.000 0.500 1

***

# 6
# PBE MnBeCr2, optimized geometry
# - ρ: 6.59 Mg/m³
# - Energy of formation from the pure elements: 0.1 eV/f.u.
data_MnBeCr2
_chemical_formula_sum 'Mn2 Be2 Cr4'
_cell_length_a 2.810
_cell_length_b 3.909
_cell_length_c 7.699
_cell_angle_alpha 90.00
_cell_angle_beta 90.00
_cell_angle_gamma 90.00
_symmetry_space_group_name_H-M 'I m m 2'
_symmetry_Int_Tables_number 44
loop_
_symmetry_equiv_pos_as_xyz
'x,y,z'
'-x,-y,z'
'-x,y,z'
'x,-y,z'
'x+1/2,y+1/2,z+1/2'
'-x+1/2,-y+1/2,z+1/2'
'-x+1/2,y+1/2,z+1/2'
'x+1/2,-y+1/2,z+1/2'
loop_
_atom_site_label
_atom_site_type_symbol
_atom_site_fract_x
_atom_site_fract_y
_atom_site_fract_z
_atom_site_occupancy
Mn1 Mn 0.000 0.000 0.000 1
Be1 Be 0.000 0.500 0.755 1
Cr1 Cr 0.000 0.000 0.518 1
Cr2 Cr 0.000 0.500 0.259 1

***

# 7
# PBE SrH2Ru, optimized geometry
# - ρ: 6.09 Mg/m³
# - Distance to the lowest polymorph of the same formula: 0.6693 eV per atom
data_SrH2Ru
_chemical_formula_sum 'Sr4 H8 Ru4'
_cell_length_a 5.924
_cell_length_b 5.924
_cell_length_c 5.924
_cell_angle_alpha 90.00
_cell_angle_beta 90.00
_cell_angle_gamma 90.00
_symmetry_space_group_name_H-M 'F m -3 m'
_symmetry_Int_Tables_number 225
_symmetry_space_group_name_Hall '-F 4 2 3'
loop_
_atom_site_label
_atom_site_type_symbol
_atom_site_fract_x
_atom_site_fract_y
_atom_site_fract_z
_atom_site_occupancy
Sr1 Sr 0.000 0.000 0.000 1
H1 H 0.250 0.250 0.250 1
Ru1 Ru 0.000 0.000 0.500 1

***

# 8
# PBE TbCd2RhO6, optimized geometry
# - Formation energy from raw total energies: -1.455 eV per atom
# - ρ: 7.43 Mg/m³
data_TbCd2RhO6
_chemical_formula_sum 'Tb2 Cd4 Rh2 O12'
_cell_length_a 5.623
_cell_length_b 5.719
_cell_length_c 9.836
_cell_angle_alpha 90.00
_cell_angle_beta 124.61
_cell_angle_gamma 90.00
_symmetry_space_group_name_H-M 'P 1 21/c 1'
_symmetry_Int_Tables_number 14
loop_
_symmetry_equiv_pos_as_xyz
'x,y,z'
'-x,-y,-z'
'-x,y+1/2,-z+1/2'
'x,-y+1/2,z+1/2'
loop_
_atom_site_label
_atom_site_type_symbol
_atom_site_fract_x
_atom_site_fract_y
_atom_site_fract_z
_atom_site_occupancy
Tb1 Tb 0.000 0.000 0.000 1
Cd1 Cd 0.253 0.045 0.747 1
Rh1 Rh 0.500 0.000 0.500 1
O1 O 0.157 0.061 0.269 1
O2 O 0.261 0.673 0.055 1
O3 O 0.400 0.209 0.065 1

***

# 9
# PBE La6Pm12Tm, optimized geometry
# - ρ: 6.64 Mg/m³
# - Energy of formation from the pure elements: 5.4 eV/f.u.
data_La6Pm12Tm
_chemical_formula_sum 'La18 Pm36 Tm3'
_cell_length_a 16.7002
_cell_length_b 16.7002
_cell_length_c 8.5158
_cell_angle_alpha 90.00
_cell_angle_beta 90.00
_cell_angle_gamma 120.00
_symmetry_space_group_name_H-M 'R -3 m'
_symmetry_Int_Tables_number 166
_symmetry_space_group_name_Hall '-R 3 2"'
loop_
_atom_site_label
_atom_site_type_symbol
_atom_site_fract_x
_atom_site_fract_y
_atom_site_fract_z
_atom_site_occupancy
La1 La 0.0856 0.1712 0.1490 1
Pm1 Pm 0.0000 0.3777 0.0000 1
Pm2 Pm 0.0931 0.5466 0.3115 1
Tm1 Tm 0.0000 0.0000 0.5000 1

***

# 10
# PBE Pm2NbCu, optimized geometry
# - ρ: 7.68 Mg/m³
# - Energy of formation from the pure elements: 2.5 eV/f.u.
data_Pm2NbCu
_chemical_formula_sum 'Pm6 Nb3 Cu3'
_cell_length_a 3.2113
_cell_length_b 3.2113
_cell_length_c 32.4174
_cell_angle_alpha 90.00
_cell_angle_beta 90.00
_cell_angle_gamma 120.00
_symmetry_space_group_name_H-M 'R -3 m'
_symmetry_Int_Tables_number 166
_symmetry_space_group_name_Hall '-R 3 2"'
loop_
_atom_site_label
_atom_site_type_symbol
_atom_site_fract_x
_atom_site_fract_y
_atom_site_fract_z
_atom_site_occupancy
Pm1 Pm 0.0000 0.0000 0.0933 1
Nb1 Nb 0.0000 0.0000 0.0000 1
Cu1 Cu 0.0000 0.0000 0.5000 1

***

# 11
# PBE LiInPS2, optimized geometry
# - Formation energy from raw total energies: 0.371 eV per atom
# - ρ: 2.69 Mg/m³
# - Distance to the lowest polymorph of the same formula: 0.0000 eV per atom
data_LiInPS2
_chemical_formula_sum 'Li1 In1 P1 S2'
_cell_length_a 5.143
_cell_length_b 5.143
_cell_length_c 5.068
_cell_angle_alpha 90.00
_cell_angle_beta 90.00
_cell_angle_gamma 90.00
_symmetry_space_group_name_H-M 'P 4/m m m'
_symmetry_Int_Tables_number 123
_symmetry_space_group_name_Hall '-P 4 2'
loop_
_atom_site_label
_atom_site_type_symbol
_atom_site_fract_x
_atom_site_fract_y
_atom_site_fract_z
_atom_site_occupancy
Li1 Li 0.000 0.000 0.000 1
In1 In 0.500 0.500 0.500 1
P1 P 0.500 0.500 0.000 1
S1 S 0.000 0.500 0.500 1

***

# 12
# PBE Rb3Nd3TiO8, optimized geometry
# - Formation energy from raw total energies: -2.638 eV per atom
# - ρ: 5.07 Mg/m³
data_Rb3Nd3TiO8
_chemical_formula_sum 'Rb9 Nd9 Ti3 O24'
_cell_length_a 7.0189
_cell_length_b 7.0189
_cell_length_c 19.9032
_cell_angle_alpha 90.00
_cell_angle_beta 90.00
_cell_angle_gamma 120.00
_symmetry_space_group_name_H-M 'R -3 m'
_symmetry_Int_Tables_number 166
_symmetry_space_group_name_Hall '-R 3 2"'
loop_
_atom_site_label
_atom_site_type_symbol
_atom_site_fract_x
_atom_site_fract_y
_atom_site_fract_z
_atom_site_occupancy
Rb1 Rb 0.0000 0.5000 0.0000 1
Nd1 Nd 0.0000 0.5000 0.5000 1
Ti1 Ti 0.0000 0.0000 0.5000 1
O1 O 0.0000 0.0000 0.2270 1
O2 O 0.0439 0.5219 0.2209 1

***

- Number 7 is which compound?
  SrH2Ru